a) Crystalline Nb2Sn2Hg at its relaxed geometry. Source: the Alexandria database, functional PBE.

Computed properties:
The space group is P4/mbm. The calculation puts the magnetization at 0.0 μB/f.u.

a = 8.6382 Å, b = 8.6382 Å, c = 3.0037 Å
α = 90.00°, β = 90.00°, γ = 90.00°
With the nearest neighbours (Å) after each atom.
Sites, in units of the cell vectors:
Nb 0.1122 0.3878 0.0000  3 Nb 2.74-3.00, 6 Sn 2.97-2.98
Nb 0.3878 0.8878 0.0000  3 Nb 2.74-3.00, 6 Sn 2.97-2.98
Nb 0.6122 0.1122 0.0000  3 Nb 2.74-3.00, 6 Sn 2.97-2.98
Nb 0.8878 0.6122 0.0000  3 Nb 2.74-3.00, 6 Sn 2.97-2.98
Sn 0.1778 0.6778 0.5000  6 Nb 2.97-2.98, 2 Sn 3.00, 2 Hg 3.18
Sn 0.3222 0.1778 0.5000  6 Nb 2.97-2.98, 2 Sn 3.00, 2 Hg 3.18
Sn 0.6778 0.8222 0.5000  6 Nb 2.97-2.98, 2 Sn 3.00, 2 Hg 3.18
Sn 0.8222 0.3222 0.5000  6 Nb 2.97-2.98, 2 Sn 3.00, 2 Hg 3.18
Hg 0.0000 0.0000 0.5000  2 Hg 3.00, 4 Sn 3.18
Hg 0.5000 0.5000 0.5000  2 Hg 3.00, 4 Sn 3.18

b) Crystalline Nb2Sn2Hg at its relaxed geometry. Source: the Alexandria database, functional PBE.

Computed properties:
The space group is P4/mbm. The calculation puts the magnetization at 0.0 μB/f.u.

a = 7.6297 Å, b = 7.6297 Å, c = 3.7303 Å
α = 90.00°, β = 90.00°, γ = 90.00°
With the nearest neighbours (Å) after each atom.
Sites, in units of the cell vectors:
Nb 0.1270 0.3730 0.0000  1 Nb 2.74, 6 Sn 2.90-2.93, 2 Hg 3.01
Nb 0.3730 0.8730 0.0000  1 Nb 2.74, 6 Sn 2.90-2.93, 2 Hg 3.01
Nb 0.6270 0.1270 0.0000  1 Nb 2.74, 6 Sn 2.90-2.93, 2 Hg 3.01
Nb 0.8730 0.6270 0.0000  1 Nb 2.74, 6 Sn 2.90-2.93, 2 Hg 3.01
Sn 0.1670 0.6670 0.5000  6 Nb 2.90-2.93
Sn 0.3330 0.1670 0.5000  6 Nb 2.90-2.93
Sn 0.6670 0.8330 0.5000  6 Nb 2.90-2.93
Sn 0.8330 0.3330 0.5000  6 Nb 2.90-2.93
Hg 0.0000 0.0000 0.0000  4 Nb 3.01
Hg 0.5000 0.5000 0.0000  4 Nb 3.01

c) Crystalline Nb2Sn2Hg at its relaxed geometry. Source: the Alexandria database, functional PBE.

Computed properties:
The space group is I4/mmm. The calculation puts the magnetization at 0.0 μB/f.u.

a = 3.9918 Å, b = 3.9918 Å, c = 14.6058 Å
α = 90.00°, β = 90.00°, γ = 90.00°
With the nearest neighbours (Å) after each atom.
Sites, in units of the cell vectors:
Nb 0.0000 0.5000 0.2500  4 Nb 2.82, 4 Sn 2.95
Nb 0.0000 0.5000 0.7500  4 Nb 2.82, 4 Sn 2.95
Nb 0.5000 0.0000 0.2500  4 Nb 2.82, 4 Sn 2.95
Nb 0.5000 0.0000 0.7500  4 Nb 2.82, 4 Sn 2.95
Sn 0.0000 0.0000 0.1011  4 Nb 2.95, 1 Sn 2.95, 4 Hg 3.19
Sn 0.0000 0.0000 0.8989  4 Nb 2.95, 1 Sn 2.95, 4 Hg 3.19
Sn 0.5000 0.5000 0.3989  4 Nb 2.95, 1 Sn 2.95, 4 Hg 3.19
Sn 0.5000 0.5000 0.6011  4 Nb 2.95, 1 Sn 2.95, 4 Hg 3.19
Hg 0.0000 0.0000 0.5000  8 Sn 3.19
Hg 0.5000 0.5000 0.0000  8 Sn 3.19

The energetic minimum among the shown structures is b); the next structure lies 13.2 kJ/mol of atoms above.